SrGa3Tc, optimized geometry, DFT PBE; space-group type = No. 63; E_form = -0.074 eV per atom; energy relative to the lowest polymorph listed for this composition = 287 meV/atom
1.0
-6.840 -0.827 5.277
3.531 -2.546 -7.509
2.176 -3.626 2.253
Sr Ga Tc
2 6 2
Cartesian
2.013 -3.110 -4.403 Sr
-3.146 -3.888 4.425 Sr
-0.698 -3.559 -2.506 Ga
-1.950 -4.984 1.505 Ga
0.000 0.000 0.000 Ga
0.817 -2.015 -1.484 Ga
1.088 -1.813 1.126 Ga
-0.435 -3.440 2.527 Ga
-1.562 -2.518 0.004 Tc
0.429 -4.480 0.017 Tc

SrGa3Tc, optimized geometry, DFT PBE; space-group type = No. 221; E_form = -0.361 eV per atom; energy relative to the lowest polymorph listed for this composition = 0 meV/atom
1.0
-4.609 1.241 -0.964
-0.545 -4.064 -2.627
-1.474 -2.379 3.985
Sr Ga Tc
1 3 1
Cartesian
-3.314 -2.601 0.197 Sr
-0.737 -1.189 1.993 Ga
-0.272 -2.032 -1.314 Ga
-2.305 0.621 -0.482 Ga
0.000 0.000 0.000 Tc

SrGa3Tc, optimized geometry, DFT PBE; space-group type = No. 14; E_form = -0.193 eV per atom; energy relative to the lowest polymorph listed for this composition = 169 meV/atom
1.0
-1.633 22.712 9.021
-5.589 1.071 -3.709
-1.021 -9.681 -1.257
Ga Sr Tc
12 4 4
Cartesian
-1.573 -1.643 0.878 Ga
-1.886 10.755 4.635 Ga
-3.758 14.914 4.770 Ga
-3.194 -5.132 -1.575 Ga
-6.357 3.347 -0.580 Ga
-4.485 -0.812 -0.715 Ga
-2.353 5.571 1.990 Ga
-6.670 15.745 3.177 Ga
-5.049 19.234 5.630 Ga
-3.631 12.077 5.905 Ga
-4.613 2.026 -1.850 Ga
-5.890 8.532 2.065 Ga
-2.096 1.446 0.154 Sr
-6.147 12.656 3.901 Sr
-5.101 6.195 -0.167 Sr
-3.143 7.908 4.222 Sr
-6.490 0.672 -0.839 Tc
-1.754 13.431 4.894 Tc
-5.463 16.613 5.183 Tc
-2.780 -2.511 -1.128 Tc

SrGa3Tc, optimized geometry, DFT PBE; space-group type = No. 194; E_form = -0.094 eV per atom; energy relative to the lowest polymorph listed for this composition = 268 meV/atom
1.0
-3.310 3.067 -1.470
-0.529 -2.259 4.140
4.831 7.459 4.687
Sr Ga Tc
2 6 2
Cartesian
2.168 5.111 5.786 Sr
-1.175 3.157 1.572 Sr
2.147 8.286 4.795 Ga
-1.155 -0.018 2.563 Ga
3.624 5.594 3.515 Ga
1.208 1.865 1.172 Ga
0.334 5.487 3.036 Ga
0.658 2.781 4.321 Ga
0.000 0.000 0.000 Tc
2.416 3.730 2.344 Tc

Sr2GaTc, optimized geometry, DFT PBE; space-group type = No. 122; E_form = 0.419 eV per atom
1.0
-7.090 8.260 -2.287
-7.967 -7.446 -2.194
-8.224 0.460 0.107
Ga Sr Tc
2 4 2
Cartesian
-7.529 0.407 -2.241 Ga
-11.860 -3.290 -2.164 Ga
-12.841 7.135 -2.050 Sr
-8.786 5.865 -2.098 Sr
-13.709 3.236 -3.498 Sr
-10.350 2.019 -1.197 Sr
0.000 0.000 0.000 Tc
-11.422 4.563 -2.211 Tc

SrGa3Tc, optimized geometry, DFT PBE; space-group type = No. 99; E_form = 0.012 eV per atom; energy relative to the lowest polymorph listed for this composition = 374 meV/atom
1.0
3.664 0.000 0.000
0.000 3.664 0.000
0.000 0.000 8.053
Ga Sr Tc
3 1 1
Cartesian
1.832 0.000 3.301 Ga
0.000 1.832 3.301 Ga
0.000 0.000 5.621 Ga
0.000 0.000 0.577 Sr
1.832 1.832 5.429 Tc

SrGa3Tc, optimized geometry, DFT PBE; space-group type = No. 119; E_form = 0.152 eV per atom; energy relative to the lowest polymorph listed for this composition = 513 meV/atom
1.0
4.792 0.000 0.000
0.000 4.792 0.000
2.396 2.396 11.589
Tc Ga Sr
2 6 2
Cartesian
4.792 2.396 6.954 Tc
4.792 2.396 4.635 Tc
2.396 6.032 8.543 Ga
1.155 4.792 3.046 Ga
2.396 3.551 8.543 Ga
3.636 4.792 3.046 Ga
2.396 2.396 3.768 Ga
4.792 4.792 7.821 Ga
0.000 0.000 0.000 Sr
2.396 4.792 5.794 Sr

SrGa3Tc, optimized geometry, DFT PBE; space-group type = No. 221; E_form = 1.703 eV per atom; energy relative to the lowest polymorph listed for this composition = 2064 meV/atom
1.0
-0.647 1.591 5.310
1.900 -4.959 1.717
5.208 2.007 0.034
Ga Tc Sr
3 1 1
Cartesian
0.950 -2.479 0.859 Ga
-0.324 0.795 2.655 Ga
2.604 1.003 0.017 Ga
3.230 -0.681 3.531 Tc
0.000 0.000 0.000 Sr

SrGa3Tc, optimized geometry, DFT PBE; space-group type = No. 160; E_form = 0.179 eV per atom; energy relative to the lowest polymorph listed for this composition = 540 meV/atom
1.0
-4.816 -1.420 -0.176
-1.299 -2.463 4.182
-2.833 2.889 2.978
Sr Tc Ga
1 1 3
Cartesian
-2.616 -0.291 2.041 Sr
-0.225 -0.025 0.176 Tc
-3.719 0.034 4.891 Ga
-4.721 -2.144 3.297 Ga
-5.497 0.561 2.689 Ga

SrGa9Tc2, optimized geometry, DFT PBE; space-group type = No. 191; E_form = -0.290 eV per atom
1.0
3.486 0.000 0.000
0.000 8.577 0.000
0.000 -4.289 7.428
Ga Tc Sr
9 2 1
Cartesian
1.743 1.770 5.974 Ga
0.000 4.289 0.000 Ga
1.743 6.059 1.454 Ga
0.000 2.144 3.714 Ga
1.743 0.000 2.908 Ga
1.743 2.519 1.454 Ga
1.743 4.289 4.520 Ga
1.743 -1.770 5.974 Ga
0.000 -2.144 3.714 Ga
0.000 4.289 2.476 Tc
0.000 0.000 4.952 Tc
0.000 0.000 0.000 Sr

SrGa3Tc, optimized geometry, DFT PBE; space-group type = No. 166; E_form = -0.209 eV per atom; energy relative to the lowest polymorph listed for this composition = 153 meV/atom
1.0
1.178 -3.440 5.823
5.668 -3.688 1.185
4.817 1.748 4.569
Ga Tc Sr
6 2 2
Cartesian
4.632 -3.825 4.688 Ga
4.270 -1.513 6.127 Ga
6.179 -1.619 4.155 Ga
5.484 -3.762 7.422 Ga
7.393 -3.867 5.450 Ga
7.031 -1.556 6.889 Ga
8.080 -3.728 8.021 Tc
3.583 -1.653 3.556 Tc
1.155 -0.533 1.146 Sr
10.508 -4.848 10.431 Sr